(1)
A relaxed structure of BaTlIn2Ag. Source: the Alexandria database, functional PBE-GGA.

The formation enthalpy at 0 K comes out at -0.07 eV per atom. The space group is P4/mmm, No. 123.

a = 5.411 Å, b = 5.684 Å, c = 5.411 Å
α = 90.00°, β = 90.00°, γ = 90.00°
Sites, in units of the cell vectors:
1 Tl 0.000 0.500 0.000
2 Ba 0.500 0.500 0.500
3 Ag 0.000 0.000 0.000
4 In 0.000 0.000 0.500
5 In 0.500 0.000 0.000


(2)
A relaxed structure of ZrBePb3. Source: the Alexandria database, functional PBE-GGA.

The formation enthalpy at 0 K comes out at 0.63 eV per atom. The energy above the most stable polymorph in this dataset comes out at 0 meV per atom. The space group is Pm-3m, No. 221.

a = 5.058 Å, b = 5.058 Å, c = 5.058 Å
α = 90.00°, β = 90.00°, γ = 90.00°
Sites, in units of the cell vectors:
1 Pb 0.000 0.500 0.000
2 Pb 0.000 0.000 0.500
3 Pb 0.500 0.000 0.000
4 Be 0.000 0.000 0.000
5 Zr 0.500 0.500 0.500


(3)
A relaxed structure of V2PN. Source: the Alexandria database, functional PBE-GGA.

The energy above the most stable polymorph in this dataset comes out at 704 meV per atom. For the uncorrected formation energy, the calculation gives -0.102 eV/atom. The space group is Fm-3m, No. 225.

a = 3.949 Å, b = 3.949 Å, c = 3.949 Å
α = 60.00°, β = 60.00°, γ = 60.00°
Sites, in units of the cell vectors:
1 P 0.500 0.500 0.500
2 V 0.250 0.250 0.250
3 V 0.750 0.750 0.750
4 N 0.000 0.000 0.000


(4)
A relaxed structure of LaMgAg2. Source: the Alexandria database, functional PBE-GGA.

The formation enthalpy at 0 K comes out at -0.17 eV per atom. The space group is Amm2, No. 38.

a = 4.708 Å, b = 3.698 Å, c = 5.990 Å
α = 72.01°, β = 90.00°, γ = 90.00°
Sites, in units of the cell vectors:
1 Ag 0.000 0.203 0.968
2 Ag 0.500 0.060 0.256
3 La 0.000 0.471 0.433
4 Mg 0.500 0.766 0.843


(5)
A relaxed structure of Ho8In2Ir3. Source: the Alexandria database, functional PBE-GGA.

The formation enthalpy at 0 K comes out at -0.53 eV per atom. The space group is Cmmm, No. 65.

a = 4.913 Å, b = 9.837 Å, c = 8.775 Å
α = 124.09°, β = 90.00°, γ = 90.00°
Sites, in units of the cell vectors:
1 Ho 0.000 0.611 0.222
2 Ho 0.000 0.389 0.778
3 Ho 0.000 0.114 0.228
4 Ho 0.000 0.886 0.772
5 Ho 0.500 0.641 0.775
6 Ho 0.500 0.135 0.775
7 Ho 0.500 0.865 0.225
8 Ho 0.500 0.359 0.225
9 In 0.500 0.255 0.510
10 In 0.500 0.745 0.490
11 Ir 0.500 0.000 0.000
12 Ir 0.000 0.253 0.000
13 Ir 0.000 0.747 0.000


(6)
A relaxed structure of Tc6Os3Ru. Source: the Alexandria database, functional PBE-GGA.

The formation enthalpy at 0 K comes out at 0.22 eV per atom. The space group is P1, No. 1.

a = 4.885 Å, b = 7.472 Å, c = 8.414 Å
α = 90.01°, β = 93.92°, γ = 98.01°
Sites, in units of the cell vectors:
1 Tc 0.253 0.937 0.808
2 Tc 0.464 0.802 0.531
3 Tc 0.203 0.925 0.277
4 Tc 0.785 0.034 0.703
5 Tc 0.737 0.090 0.367
6 Tc 0.477 0.123 0.045
7 Tc 0.930 0.699 0.487
8 Tc 0.084 0.637 0.087
9 Tc 0.765 0.702 0.813
10 Tc 0.228 0.279 0.255
11 Tc 0.966 0.310 0.933
12 Tc 0.911 0.365 0.594
13 Os 0.493 0.302 0.762
14 Os 0.496 0.474 0.021
15 Os 0.621 0.760 0.215
16 Os 0.787 0.428 0.276
17 Os 0.208 0.098 0.537
18 Os 0.233 0.597 0.769
19 Ru 0.443 0.464 0.495
20 Ru 0.916 0.974 0.027


(7)
A relaxed structure of BPdO3. Source: the Alexandria database, functional PBE-GGA.

For the uncorrected formation energy, the calculation gives -0.137 eV/atom. The space group is Pm-3m, No. 221.

a = 3.434 Å, b = 3.434 Å, c = 3.434 Å
α = 90.00°, β = 90.00°, γ = 90.00°
Last column: magnetic moment on the atom in μB.
Sites, in units of the cell vectors:
1 B 0.500 0.500 0.500  -0.02
2 Pd 0.000 0.000 0.000  0.92
3 O 0.500 0.500 0.000  0.33
4 O 0.500 0.000 0.500  0.33
5 O 0.000 0.500 0.500  0.33


(8)
A relaxed structure of VTcSe2N. Source: the Alexandria database, functional PBE-GGA.

The energy above the most stable polymorph in this dataset comes out at 0 meV per atom. For the uncorrected formation energy, the calculation gives 0.468 eV/atom. The space group is P4/mmm, No. 123.

a = 4.967 Å, b = 4.967 Å, c = 3.591 Å
α = 90.00°, β = 90.00°, γ = 90.00°
Last column: magnetic moment on the atom in μB.
Sites, in units of the cell vectors:
1 N 0.000 0.000 0.500  -0.09
2 Tc 0.500 0.500 0.500  3.12
3 Se 0.000 0.500 0.000  -0.07
4 Se 0.500 0.000 0.000  -0.07
5 V 0.000 0.000 0.000  0.60


(9)
A relaxed structure of K2Sb3PbAu4. Source: the Alexandria database, functional PBE-GGA.

For the uncorrected formation energy, the calculation gives -0.287 eV/atom. The space group is P-4m2, No. 115.

a = 4.885 Å, b = 4.885 Å, c = 11.516 Å
α = 90.00°, β = 90.00°, γ = 90.00°
Sites, in units of the cell vectors:
1 K 0.500 0.000 0.238
2 K 0.000 0.500 0.762
3 Sb 0.000 0.000 0.500
4 Sb 0.500 0.000 0.876
5 Sb 0.000 0.500 0.124
6 Pb 0.500 0.500 0.500
7 Au 0.500 0.500 0.000
8 Au 0.000 0.000 0.000
9 Au 0.500 0.000 0.640
10 Au 0.000 0.500 0.360


(10)
A relaxed structure of ErCu2Sn. Source: the Alexandria database, functional PBE-GGA.

The formation enthalpy at 0 K comes out at -0.22 eV per atom. The space group is P4/mmm, No. 123.

a = 3.924 Å, b = 4.392 Å, c = 4.392 Å
α = 90.00°, β = 90.00°, γ = 90.00°
Sites, in units of the cell vectors:
1 Sn 0.500 0.000 0.000
2 Cu 0.000 0.000 0.500
3 Cu 0.000 0.500 0.000
4 Er 0.500 0.500 0.500


(11)
A relaxed structure of Ti2AlIr. Source: the Alexandria database, functional PBE-GGA.

The formation enthalpy at 0 K comes out at -0.16 eV per atom. The space group is I-42d, No. 122.

a = 7.325 Å, b = 7.325 Å, c = 5.800 Å
α = 50.84°, β = 50.84°, γ = 90.00°
Sites, in units of the cell vectors:
1 Ir 0.000 0.000 0.000
2 Ir 0.750 0.250 0.500
3 Al 0.500 0.500 0.000
4 Al 0.250 0.750 0.500
5 Ti 0.669 0.125 0.250
6 Ti 0.081 0.625 0.250
7 Ti 0.375 0.331 0.750
8 Ti 0.875 0.919 0.750


(12)
A relaxed structure of K4NpU3O12. Source: the Alexandria database, functional PBE-GGA.

For the uncorrected formation energy, the calculation gives -2.853 eV/atom. The space group is Im-3m, No. 229.

a = 7.490 Å, b = 7.490 Å, c = 7.490 Å
α = 109.47°, β = 109.47°, γ = 109.47°
Last column: magnetic moment on the atom in μB.
Sites, in units of the cell vectors:
1 K 0.500 0.500 0.500  0.00
2 K 0.000 0.000 0.500  0.00
3 K 0.500 0.000 0.000  0.00
4 K 0.000 0.500 0.000  0.00
5 Np 0.000 0.000 0.000  2.60
6 U 0.500 0.000 0.500  0.92
7 U 0.500 0.500 0.000  0.92
8 U 0.000 0.500 0.500  0.92
9 O 0.250 0.500 0.750  -0.03
10 O 0.747 0.000 0.747  -0.06
11 O 0.253 0.000 0.253  -0.06
12 O 0.750 0.500 0.250  -0.03
13 O 0.747 0.747 0.000  -0.06
14 O 0.253 0.253 0.000  -0.06
15 O 0.750 0.250 0.500  -0.03
16 O 0.250 0.750 0.500  -0.03
17 O 0.500 0.250 0.750  -0.03
18 O 0.000 0.747 0.747  -0.06
19 O 0.500 0.750 0.250  -0.03
20 O 0.000 0.253 0.253  -0.06


no.,magnetic moment (μB/atom),N(E_F) (states/eV/cell),density (g/cm3)
1,0.000,4.25,6.78
2,0.000,5.59,9.26
3,0.000,1.13,5.60
4,0.000,3.14,6.34
5,0.000,10.14,10.05
6,0.000,16.90,13.79
7,0.399,4.59,6.77
8,0.784,4.11,6.01
9,0.000,4.44,8.69
10,0.000,2.07,9.06
11,0.000,8.57,7.47
12,0.250,22.37,6.67